(1)
A PBEsol-optimized structure of Sc2ZnNi2. Source: Alexandria via LeMat-Bulk, functional meta-GGA SCAN.

```
5
Lattice="-1.713 1.713 6.994 1.713 -1.713 6.994 1.713 1.713 -6.994" Properties=species:S:1:pos:R:3 pbc="T T T"
Sc 0.000 0.000 1.598
Sc 0.000 0.000 12.389
Zn 0.000 0.000 6.994
Ni 1.713 0.000 3.497
Ni 0.000 1.713 3.497
```

Total magnetic moment (μB/atom): 0.00
Space-group type: I4/mmm
Final energy (eV/atom): -15.0839
Formation enthalpy at 0 K (eV/atom): -0.217

---

(2)
A PBEsol-optimized structure of KCa3Os. Source: Alexandria via LeMat-Bulk, functional meta-GGA SCAN.

```
5
Lattice="5.092 0.000 0.000 0.000 5.092 0.000 0.000 0.000 5.092" Properties=species:S:1:pos:R:3 pbc="T T T"
K 0.000 0.000 0.000
Ca 0.000 0.000 2.546
Ca 0.000 2.546 0.000
Ca 2.546 0.000 0.000
Os 2.546 2.546 2.546
```

Total magnetic moment (μB/atom): 0.13
Space-group type: Pm-3m
Final energy (eV/atom): -19.8945
Formation enthalpy at 0 K (eV/atom): 1.945